Entry 1:
ZnAg2Os: PBEsol geometry, meta-GGA SCAN.

Unit cell a=2.675 b=4.780 c=4.965 alpha=109.00 beta=90.00 gamma=90.00
Element x y z (fractional)
Ag: 0.000 0.000 0.000
Ag: 0.500 0.500 0.000
Os: 0.500 0.000 0.500
Zn: 0.000 0.500 0.500

Results
The calculation puts the density at 13.044 g cm⁻³. The formation energy from the elements is 363 meV per atom.

---

Entry 2:
CoTcNi2: PBEsol geometry, meta-GGA SCAN.

Unit cell a=2.515 b=4.329 c=4.376 alpha=109.49 beta=90.00 gamma=90.00
Site moments in Bohr magnetons follow the coordinates.
Element x y z (fractional)
Co: 0.000 0.500 0.500  1.58
Ni: 0.000 0.000 0.000  0.47
Ni: 0.500 0.500 0.000  0.73
Tc: 0.500 0.000 0.500  0.41

Results
The calculation puts the density at 10.143 g cm⁻³. The formation energy from the elements is 157 meV per atom.

---

Entry 3:
Li3MgZn: PBEsol geometry, meta-GGA SCAN.

Unit cell a=4.713 b=4.713 c=4.713 alpha=90.00 beta=90.00 gamma=90.00
Element x y z (fractional)
Zn: 0.000 0.000 0.000
Mg: 0.500 0.500 0.500
Li: 0.000 0.500 0.000
Li: 0.000 0.000 0.500
Li: 0.500 0.000 0.000

Results
The calculation puts the density at 1.753 g cm⁻³. The formation energy from the elements is 148 meV per atom.

---

Entry 4:
MgRuRh2: PBEsol geometry, meta-GGA SCAN.

Unit cell a=2.703 b=4.655 c=4.724 alpha=98.63 beta=90.00 gamma=106.87
Element x y z (fractional)
Mg: 0.500 0.000 0.000
Rh: 0.744 0.488 0.739
Rh: 0.256 0.512 0.261
Ru: 0.000 0.000 0.500

Results
The calculation puts the density at 9.791 g cm⁻³. The formation energy from the elements is -83 meV per atom.

---

Entry 5:
FeTeOsI2: PBEsol geometry, meta-GGA SCAN.

Unit cell a=4.958 b=5.449 c=5.449 alpha=90.00 beta=90.00 gamma=90.00
Site moments in Bohr magnetons follow the coordinates.
Element x y z (fractional)
I: 0.000 0.000 0.500  0.03
I: 0.000 0.500 0.000  0.03
Te: 0.500 0.000 0.000  0.07
Os: 0.000 0.000 0.000  -0.10
Fe: 0.500 0.500 0.500  3.48

Results
The calculation puts the density at 7.078 g cm⁻³. The total energy comes out at -39.060 eV per atom.

---

Entry 6:
SrTa3As: PBEsol geometry, meta-GGA SCAN.

Unit cell a=4.820 b=4.820 c=4.820 alpha=90.00 beta=90.00 gamma=90.00
Element x y z (fractional)
Sr: 0.000 0.000 0.000
As: 0.500 0.500 0.500
Ta: 0.000 0.500 0.000
Ta: 0.000 0.000 0.500
Ta: 0.500 0.000 0.000

Results
The calculation puts the density at 10.457 g cm⁻³. The formation energy from the elements is 3141 meV per atom.

---

Entry 7:
NaSr3CeP3O13: PBEsol geometry, meta-GGA SCAN.

Unit cell a=7.075 b=9.593 c=9.593 alpha=120.00 beta=90.00 gamma=90.00
Site moments in Bohr magnetons follow the coordinates.
Element x y z (fractional)
Na: 0.972 0.333 0.667  0.00
Na: 0.028 0.667 0.333  0.00
Sr: 0.752 0.228 0.247  0.00
Sr: 0.752 0.019 0.772  0.00
Sr: 0.752 0.753 0.981  0.00
Sr: 0.248 0.772 0.753  0.00
Sr: 0.248 0.981 0.228  0.00
Sr: 0.248 0.247 0.019  0.00
Ce: 0.474 0.333 0.667  0.50
Ce: 0.526 0.667 0.333  0.50
P: 0.255 0.376 0.407  0.00
P: 0.255 0.031 0.624  0.00
P: 0.255 0.593 0.969  0.00
P: 0.745 0.624 0.593  0.00
P: 0.745 0.969 0.376  0.00
P: 0.745 0.407 0.031  0.00
O: 0.284 0.500 0.351  0.00
O: 0.284 0.851 0.500  0.00
O: 0.284 0.649 0.149  0.00
O: 0.716 0.500 0.649  0.00
O: 0.716 0.149 0.500  0.00
O: 0.716 0.351 0.851  0.00
O: 0.215 0.461 0.591  0.00
O: 0.215 0.130 0.539  0.00
O: 0.215 0.409 0.870  0.00
O: 0.785 0.539 0.409  0.00
O: 0.785 0.870 0.461  0.00
O: 0.785 0.591 0.130  0.00
O: 0.100 0.257 0.303  0.00
O: 0.100 0.046 0.743  0.00
O: 0.100 0.697 0.954  0.00
O: 0.900 0.743 0.697  0.00
O: 0.900 0.954 0.257  0.00
O: 0.900 0.303 0.046  0.00
O: 0.439 0.278 0.387  0.00
O: 0.439 0.110 0.722  0.00
O: 0.439 0.613 0.890  0.00
O: 0.561 0.722 0.613  0.00
O: 0.561 0.890 0.278  0.00
O: 0.561 0.387 0.110  0.00
O: 0.668 0.000 0.000  0.42
O: 0.332 0.000 0.000  0.42

Results
The calculation puts the density at 4.282 g cm⁻³. The total energy comes out at -13.922 eV per atom.

---

Entry 8:
HgB4O7: PBEsol geometry, meta-GGA SCAN.

Unit cell a=4.193 b=4.393 c=10.703 alpha=90.00 beta=90.00 gamma=90.00
Element x y z (fractional)
Hg: 0.598 0.819 0.500
Hg: 0.098 0.181 0.000
B: 0.591 0.674 0.880
B: 0.071 0.827 0.249
B: 0.571 0.173 0.251
B: 0.091 0.326 0.620
B: 0.091 0.326 0.380
B: 0.591 0.674 0.120
B: 0.071 0.827 0.751
B: 0.571 0.173 0.749
O: 0.931 0.729 0.134
O: 0.431 0.271 0.366
O: 0.518 0.353 0.860
O: 0.018 0.647 0.640
O: 0.018 0.647 0.360
O: 0.518 0.353 0.140
O: 0.427 0.864 0.777
O: 0.927 0.136 0.723
O: 0.927 0.136 0.277
O: 0.427 0.864 0.223
O: 0.482 0.775 0.000
O: 0.982 0.225 0.500
O: 0.931 0.729 0.866
O: 0.431 0.271 0.634

Results
The calculation puts the density at 5.994 g cm⁻³. The total energy comes out at -14.001 eV per atom.